Compound: TaAsRh2
Source: Alexandria
Functional: PBE
Structure: optimized geometry

```
data_TaAsRh2
_space_group_name_H-M_alt 'P 4 m m'
_space_group_IT_number 99
_cell_length_a 2.9978
_cell_length_b 2.9978
_cell_length_c 6.8871
_cell_angle_alpha 90.00
_cell_angle_beta 90.00
_cell_angle_gamma 90.00
loop_
_space_group_symop_operation_xyz
'x,y,z'
'-y,x,z'
'-x,-y,z'
'y,-x,z'
'-x,y,z'
'y,x,z'
'x,-y,z'
'-y,-x,z'
loop_
_atom_site_label
_atom_site_type_symbol
_atom_site_fract_x
_atom_site_fract_y
_atom_site_fract_z
Ta1 Ta 0.0000 0.0000 0.0000
As1 As 0.5000 0.5000 0.2667
Rh1 Rh 0.0000 0.0000 0.4692
Rh2 Rh 0.5000 0.5000 0.7572
```

Results
Calculated volume in Å³/cell: 61.9
Total DFT energy (no corrections) in eV per atom: -8.072
ρ in g/cm³: 12.4
Crystal system: tetragonal
E_form in eV per atom: -0.271